{
  "formula": "LiFe4P",
  "functional": "PBE",
  "state": "relaxed",
  "lattice_angstrom": [[0.000, 3.325, 3.325], [3.325, 0.000, 3.325], [3.325, 3.325, 0.000]],
  "species": ["Li", "Fe", "Fe", "Fe", "Fe", "P"],
  "fractional_positions": [[0.750, 0.750, 0.750], [0.875, 0.375, 0.375], [0.375, 0.375, 0.875], [0.375, 0.875, 0.375], [0.375, 0.375, 0.375], [0.000, 0.000, 0.000]],
  "formation_energy_ev_per_atom": 0.25
}

***

{
  "formula": "HfUBi2",
  "functional": "PBE",
  "state": "relaxed",
  "lattice_angstrom": [[3.299, 0.000, 0.000], [1.649, 2.857, 0.000], [1.649, 0.952, 11.589]],
  "species": ["Hf", "U", "Bi", "Bi"],
  "fractional_positions": [[0.500, 0.500, 0.500], [0.000, 0.000, 0.000], [0.094, 0.094, 0.717], [0.906, 0.906, 0.283]],
  "formation_energy_ev_per_atom": 0.28,
  "de_polymorph_mev_per_atom": 175.8
}

***

{
  "formula": "NaInFe3",
  "functional": "PBE",
  "state": "relaxed",
  "lattice_angstrom": [[4.948, 0.000, 0.000], [0.000, 4.948, 0.000], [0.000, 0.000, 4.948]],
  "species": ["Na", "Fe", "Fe", "Fe", "In"],
  "fractional_positions": [[0.500, 0.500, 0.500], [0.000, 0.500, 0.000], [0.000, 0.000, 0.500], [0.500, 0.000, 0.000], [0.000, 0.000, 0.000]],
  "formation_energy_ev_per_atom": 1.38,
  "de_polymorph_mev_per_atom": 0.0
}

***

{
  "formula": "SrYO2F",
  "functional": "PBE",
  "state": "relaxed",
  "lattice_angstrom": [[-2.942, 1.731, 3.126], [-2.551, -3.853, -0.268], [2.329, -1.762, 3.168]],
  "species": ["Y", "Sr", "O", "O", "F"],
  "fractional_positions": [[0.500, 0.500, 0.500], [0.000, 0.000, 0.000], [0.000, 0.500, 0.000], [0.500, 0.000, 0.000], [0.000, 0.000, 0.500]],
  "raw_formation_energy_ev_per_atom": -2.021
}

***

{
  "formula": "U3Si2Pt4",
  "functional": "PBE",
  "state": "relaxed",
  "lattice_angstrom": [[-1.695, -2.444, 3.290], [-0.305, -2.528, -5.024], [7.508, -0.099, 3.796]],
  "species": ["U", "U", "U", "Si", "Si", "Pt", "Pt", "Pt", "Pt"],
  "fractional_positions": [[0.625, 0.250, 0.666], [0.000, 0.000, 0.000], [0.375, 0.750, 0.334], [0.656, 0.312, 0.315], [0.344, 0.688, 0.685], [0.716, 0.433, 0.072], [0.284, 0.567, 0.928], [0.909, 0.819, 0.603], [0.091, 0.181, 0.397]],
  "raw_formation_energy_ev_per_atom": -0.762
}

***

{
  "formula": "LuPaGe2",
  "functional": "PBE",
  "state": "relaxed",
  "lattice_angstrom": [[-2.037, 1.956, 4.099], [-3.221, -2.671, 2.696], [1.320, -1.699, 4.489]],
  "species": ["Ge", "Ge", "Pa", "Lu"],
  "fractional_positions": [[0.250, 0.250, 0.250], [0.750, 0.750, 0.750], [0.000, 0.000, 0.000], [0.500, 0.500, 0.500]],
  "formation_energy_ev_per_atom": -0.43,
  "de_polymorph_mev_per_atom": 162.8
}

***

Number 1: density 5.90 g/cm3. Number 2: density 12.69 g/cm3. Number 3: density 4.19 g/cm3. Number 4: density 4.09 g/cm3. Number 5: density 15.23 g/cm3. Number 6: density 10.50 g/cm3.